(1)
Si3OsSe, optimized geometry, DFT PBE; polymorph energy (0 for the lowest one) = 0.000 eV per atom; formation energy (no corrections) = 0.203 eV/atom; magnetization = 0.0 μB per formula unit; calculated volume = 101 Å³ per cell; space group = Pm-3m
1.0
4.6551 0.0000 0.0000
0.0000 4.6551 0.0000
0.0000 0.0000 4.6551
Si Os Se
3 1 1
Direct
0.0000 0.5000 0.0000
0.0000 0.0000 0.5000
0.5000 0.0000 0.0000
0.0000 0.0000 0.0000
0.5000 0.5000 0.5000

---

(2)
Cs2Na2AgF7, optimized geometry, DFT PBE; formation energy (no corrections) = -2.086 eV/atom; magnetization = 0.5 μB per formula unit; calculated volume = 240 Å³ per cell; space group = C2/m
1.0
-3.0011 -0.0672 -3.5309
-3.0483 -0.3366 3.4746
-4.9491 10.9919 0.3895
Cs Na Ag F
2 2 1 7
Direct
0.8470 0.8470 0.3666
0.1530 0.1530 0.6334
0.5153 0.5153 0.8231
0.4847 0.4847 0.1769
0.0000 0.0000 0.0000
0.5000 0.5000 0.0000
0.3366 0.3366 0.3735
0.6634 0.6634 0.6265
0.0299 0.6634 0.1335
0.6634 0.0299 0.1335
0.3366 0.9701 0.8665
0.9701 0.3366 0.8665

---

(3)
SrBeTl3, optimized geometry, DFT PBE; polymorph energy (0 for the lowest one) = 0.000 eV per atom; magnetization = 0.0 μB per formula unit; E_form = 57 meV/atom; calculated volume = 138 Å³ per cell; space group = Pm-3m
1.0
-1.2344 3.2766 -3.8077
-4.6112 -2.2946 -0.4796
-1.9929 3.2798 3.4684
Sr Tl Be
1 3 1
Direct
0.5000 0.5000 0.5000
0.0000 0.5000 0.0000
0.0000 0.0000 0.5000
0.5000 0.0000 0.0000
0.0000 0.0000 0.0000

---

(4)
SrOs3, optimized geometry, DFT PBE; magnetization = 6.0 μB per formula unit; E_form = 4826 meV/atom; calculated volume = 132 Å³ per cell; space group = Pm-3m
1.0
-1.6544 4.4297 1.9045
-0.1594 -2.0626 4.6590
4.8191 1.4524 0.8079
Os Sr
3 1
Direct
0.5000 0.0000 0.0000
0.0000 0.5000 0.0000
0.0000 0.0000 0.5000
0.0000 0.0000 0.0000

---

(5)
PuCd3Au, optimized geometry, DFT PBE; polymorph energy (0 for the lowest one) = 0.000 eV per atom; magnetization = 5.8 μB per formula unit; E_form = -163 meV/atom; calculated volume = 237 Å³ per cell; space group = P2_1/m
1.0
-5.1034 2.3182 0.6073
-0.7062 -2.8848 5.0820
5.3969 4.3551 3.2211
Pu Cd Au
2 6 2
Direct
0.7350 0.9476 0.9095
0.2994 0.4476 0.6511
0.8661 0.4477 0.1901
0.1682 0.9475 0.3705
0.7106 0.1921 0.4738
0.7106 0.7031 0.4739
0.3237 0.6921 0.0867
0.3237 0.2031 0.0868
0.8734 0.4476 0.8228
0.1609 0.9477 0.7378

---

(6)
Li2MnTc, optimized geometry, DFT PBE; polymorph energy (0 for the lowest one) = 0.064 eV per atom; magnetization = 2.7 μB per formula unit; E_form = 267 meV/atom; calculated volume = 55 Å³ per cell; space group = C2/m
1.0
4.6196 -0.0297 -0.1146
-2.0694 4.8714 0.1051
0.4808 0.6327 2.4452
Li Mn Tc
2 1 1
Direct
0.0000 0.0000 0.0000
0.5000 0.0000 0.5000
0.0000 0.5000 0.5000
0.5000 0.5000 0.0000

---

(7)
PmCo2Ge5, optimized geometry, DFT PBE; magnetization = 0.0 μB per formula unit; E_form = -244 meV/atom; calculated volume = 140 Å³ per cell; space group = Immm
1.0
-0.3335 3.8635 0.8329
-5.2487 0.7476 3.8743
0.8761 0.7171 6.4681
Pm Co Ge
1 2 5
Direct
0.0000 0.0000 0.0000
0.7923 0.7077 0.7077
0.2077 0.2923 0.2923
0.0000 0.5000 0.5000
0.6561 0.5575 0.1303
0.3439 0.4425 0.8697
0.3439 0.8697 0.4425
0.6561 0.1303 0.5575

---

(8)
In17Bi12, optimized geometry, DFT PBE; magnetization = 0.0 μB per formula unit; E_form = 56 meV/atom; calculated volume = 905 Å³ per cell; space group = I-43m
1.0
-6.2770 2.8564 -7.9904
8.6753 -4.6381 -3.8255
-5.1365 -6.7670 6.2635
In Bi
17 12
Direct
0.0000 0.4265 0.7037
0.0000 0.7037 0.4265
0.2771 0.5735 0.5735
0.7229 0.2963 0.2963
0.7037 0.4265 0.0000
0.4265 0.7037 0.0000
0.2963 0.2963 0.7229
0.5735 0.5735 0.2771
0.2963 0.7229 0.2963
0.5735 0.2771 0.5735
0.4265 0.0000 0.7037
0.7037 0.0000 0.4265
0.0000 0.6647 0.0000
0.0000 0.0000 0.6647
0.3353 0.3353 0.3353
0.6647 0.0000 0.0000
0.0000 0.0000 0.0000
0.0000 0.4121 0.2126
0.0000 0.2126 0.4121
0.8005 0.5879 0.5879
0.1995 0.7874 0.7874
0.2126 0.4121 0.0000
0.4121 0.2126 0.0000
0.7874 0.7874 0.1995
0.5879 0.5879 0.8005
0.7874 0.1995 0.7874
0.5879 0.8005 0.5879
0.4121 0.0000 0.2126
0.2126 0.0000 0.4121

---

- Number 5 is which compound?
  PuCd3Au